CrS2NF, relaxed, DFT PBE with a Hubbard U; crystal system = tetragonal; distance to the lowest polymorph of the same formula = 0 meV/atom; symmetry = No. 123
1.0
4.698 0.000 0.000
0.000 4.698 0.000
0.000 0.000 3.699
Cr S N F
1 2 1 1
direct
0.000 0.000 0.000
0.000 0.500 0.000
0.500 0.000 0.000
0.000 0.000 0.500
0.500 0.500 0.500